No. 1
# CsHg3Rh PBEsol optimized geometry
# Relative energy among the computed polymorphs ... 0 kJ/mol of formula units
# Formation energy ... -0.150 eV/atom
data_CsHg3Rh
_chemical_formula_sum 'Cs1 Hg3 Rh1'
_space_group_name_H-M_alt 'P m -3 m'
_space_group_IT_number 221
_space_group_name_Hall '-P 4 2 3'
_cell_length_a 5.270
_cell_length_b 5.270
_cell_length_c 5.270
_cell_angle_alpha 90.00
_cell_angle_beta 90.00
_cell_angle_gamma 90.00
loop_
_atom_site_label
_atom_site_type_symbol
_atom_site_fract_x
_atom_site_fract_y
_atom_site_fract_z
Cs1 Cs 0.000 0.000 0.000
Hg1 Hg 0.000 0.500 0.500
Rh1 Rh 0.500 0.500 0.500

No. 2
# CsZr2HgRh PBEsol optimized geometry
# Formation energy ... 1.748 eV/atom
data_CsZr2HgRh
_chemical_formula_sum 'Cs1 Zr2 Hg1 Rh1'
_space_group_name_H-M_alt 'P 4/m m m'
_space_group_IT_number 123
_space_group_name_Hall '-P 4 2'
_cell_length_a 5.180
_cell_length_b 5.180
_cell_length_c 4.763
_cell_angle_alpha 90.00
_cell_angle_beta 90.00
_cell_angle_gamma 90.00
loop_
_atom_site_label
_atom_site_type_symbol
_atom_site_fract_x
_atom_site_fract_y
_atom_site_fract_z
Cs1 Cs 0.000 0.000 0.000
Zr1 Zr 0.000 0.500 0.000
Hg1 Hg 0.500 0.500 0.500
Rh1 Rh 0.000 0.000 0.500

No. 3
# Cs2HgS2 PBEsol optimized geometry
# Formation energy (no corrections) ... -0.298 eV per atom
data_Cs2HgS2
_chemical_formula_sum 'Cs4 Hg2 S4'
_space_group_name_H-M_alt 'I 4/m m m'
_space_group_IT_number 139
_space_group_name_Hall '-I 4 2'
_cell_length_a 3.834
_cell_length_b 3.834
_cell_length_c 22.060
_cell_angle_alpha 90.00
_cell_angle_beta 90.00
_cell_angle_gamma 90.00
loop_
_atom_site_label
_atom_site_type_symbol
_atom_site_fract_x
_atom_site_fract_y
_atom_site_fract_z
Cs1 Cs 0.000 0.000 0.129
Hg1 Hg 0.000 0.000 0.500
S1 S 0.000 0.500 0.250

No. 4
# CsSnHg2S PBEsol optimized geometry
# Formation energy (no corrections) ... -0.278 eV per atom
data_CsSnHg2S
_chemical_formula_sum 'Cs1 Sn1 Hg2 S1'
_space_group_name_H-M_alt 'P 4/m m m'
_space_group_IT_number 123
_space_group_name_Hall '-P 4 2'
_cell_length_a 5.557
_cell_length_b 5.557
_cell_length_c 5.333
_cell_angle_alpha 90.00
_cell_angle_beta 90.00
_cell_angle_gamma 90.00
loop_
_atom_site_label
_atom_site_type_symbol
_atom_site_fract_x
_atom_site_fract_y
_atom_site_fract_z
Cs1 Cs 0.000 0.000 0.000
Sn1 Sn 0.500 0.500 0.500
Hg1 Hg 0.000 0.500 0.500
S1 S 0.500 0.500 0.000

No. 5
# CsHgSb PBEsol optimized geometry
# Formation energy (no corrections) ... -0.397 eV per atom
data_CsHgSb
_chemical_formula_sum 'Cs2 Hg2 Sb2'
_space_group_name_H-M_alt 'P 63/m m c'
_space_group_IT_number 194
_space_group_name_Hall '-P 6c 2c'
_cell_length_a 4.8369
_cell_length_b 4.8369
_cell_length_c 11.5592
_cell_angle_alpha 90.00
_cell_angle_beta 90.00
_cell_angle_gamma 120.00
loop_
_atom_site_label
_atom_site_type_symbol
_atom_site_fract_x
_atom_site_fract_y
_atom_site_fract_z
Cs1 Cs 0.0000 0.0000 0.0000
Hg1 Hg 0.3333 0.6667 0.2500
Sb1 Sb 0.3333 0.6667 0.7500

No. 6
# CsHgSb2Te PBEsol optimized geometry
# Formation energy (no corrections) ... 1.324 eV per atom
data_CsHgSb2Te
_chemical_formula_sum 'Cs1 Hg1 Sb2 Te1'
_space_group_name_H-M_alt 'P 4/m m m'
_space_group_IT_number 123
_space_group_name_Hall '-P 4 2'
_cell_length_a 7.430
_cell_length_b 7.430
_cell_length_c 6.472
_cell_angle_alpha 90.00
_cell_angle_beta 90.00
_cell_angle_gamma 90.00
loop_
_atom_site_label
_atom_site_type_symbol
_atom_site_fract_x
_atom_site_fract_y
_atom_site_fract_z
Cs1 Cs 0.000 0.000 0.000
Hg1 Hg 0.500 0.500 0.500
Sb1 Sb 0.000 0.500 0.000
Te1 Te 0.000 0.000 0.500

No. 7
# CsHgSe PBEsol optimized geometry
# Formation energy (no corrections) ... -0.648 eV per atom
data_CsHgSe
_chemical_formula_sum 'Cs4 Hg4 Se4'
_space_group_name_H-M_alt 'C 1 m 1'
_space_group_IT_number 8
_space_group_name_Hall 'C -2y'
_cell_length_a 12.098
_cell_length_b 5.095
_cell_length_c 8.271
_cell_angle_alpha 90.00
_cell_angle_beta 107.80
_cell_angle_gamma 90.00
loop_
_atom_site_label
_atom_site_type_symbol
_atom_site_fract_x
_atom_site_fract_y
_atom_site_fract_z
Cs1 Cs 0.000 0.000 0.000
Cs2 Cs 0.202 0.000 0.641
Hg1 Hg 0.280 0.500 0.253
Hg2 Hg 0.482 0.000 0.355
Se1 Se 0.190 0.500 0.947
Se2 Se 0.388 0.500 0.555

No. 8
# Cs2HgSe PBEsol optimized geometry
# Formation energy (no corrections) ... -0.758 eV per atom
data_Cs2HgSe
_chemical_formula_sum 'Cs8 Hg4 Se4'
_space_group_name_H-M_alt 'F m -3 m'
_space_group_IT_number 225
_space_group_name_Hall '-F 4 2 3'
_cell_length_a 8.431
_cell_length_b 8.431
_cell_length_c 8.431
_cell_angle_alpha 90.00
_cell_angle_beta 90.00
_cell_angle_gamma 90.00
loop_
_atom_site_label
_atom_site_type_symbol
_atom_site_fract_x
_atom_site_fract_y
_atom_site_fract_z
Cs1 Cs 0.250 0.250 0.250
Hg1 Hg 0.000 0.000 0.000
Se1 Se 0.000 0.000 0.500

No. 9
# CsSiHg3 PBEsol optimized geometry
# Formation energy (no corrections) ... -0.004 eV per atom
data_CsSiHg3
_chemical_formula_sum 'Cs1 Si1 Hg3'
_space_group_name_H-M_alt 'P m -3 m'
_space_group_IT_number 221
_space_group_name_Hall '-P 4 2 3'
_cell_length_a 5.306
_cell_length_b 5.306
_cell_length_c 5.306
_cell_angle_alpha 90.00
_cell_angle_beta 90.00
_cell_angle_gamma 90.00
loop_
_atom_site_label
_atom_site_type_symbol
_atom_site_fract_x
_atom_site_fract_y
_atom_site_fract_z
Cs1 Cs 0.000 0.000 0.000
Si1 Si 0.500 0.500 0.500
Hg1 Hg 0.000 0.500 0.500

No. 10
# Cs2SiHg PBEsol optimized geometry
# Formation energy (no corrections) ... 0.555 eV per atom
data_Cs2SiHg
_chemical_formula_sum 'Cs8 Si4 Hg4'
_space_group_name_H-M_alt 'I -4 2 d'
_space_group_IT_number 122
_space_group_name_Hall 'I -4 2bw'
_cell_length_a 5.022
_cell_length_b 5.022
_cell_length_c 24.156
_cell_angle_alpha 90.00
_cell_angle_beta 90.00
_cell_angle_gamma 90.00
loop_
_atom_site_label
_atom_site_type_symbol
_atom_site_fract_x
_atom_site_fract_y
_atom_site_fract_z
Cs1 Cs 0.247 0.250 0.125
Si1 Si 0.000 0.000 0.500
Hg1 Hg 0.000 0.000 0.000

No. 11
# CsSrHg2 PBEsol optimized geometry
# Formation energy ... -0.231 eV/atom
data_CsSrHg2
_chemical_formula_sum 'Cs4 Sr4 Hg8'
_space_group_name_H-M_alt 'F m -3 m'
_space_group_IT_number 225
_space_group_name_Hall '-F 4 2 3'
_cell_length_a 8.252
_cell_length_b 8.252
_cell_length_c 8.252
_cell_angle_alpha 90.00
_cell_angle_beta 90.00
_cell_angle_gamma 90.00
loop_
_atom_site_label
_atom_site_type_symbol
_atom_site_fract_x
_atom_site_fract_y
_atom_site_fract_z
Cs1 Cs 0.000 0.000 0.000
Sr1 Sr 0.000 0.000 0.500
Hg1 Hg 0.250 0.250 0.250

No. 12
# CsSr3Hg PBEsol optimized geometry
# Formation energy ... -0.137 eV/atom
data_CsSr3Hg
_chemical_formula_sum 'Cs1 Sr3 Hg1'
_space_group_name_H-M_alt 'P m -3 m'
_space_group_IT_number 221
_space_group_name_Hall '-P 4 2 3'
_cell_length_a 6.417
_cell_length_b 6.417
_cell_length_c 6.417
_cell_angle_alpha 90.00
_cell_angle_beta 90.00
_cell_angle_gamma 90.00
loop_
_atom_site_label
_atom_site_type_symbol
_atom_site_fract_x
_atom_site_fract_y
_atom_site_fract_z
Cs1 Cs 0.000 0.000 0.000
Sr1 Sr 0.000 0.500 0.500
Hg1 Hg 0.500 0.500 0.500

No. 13
# Cs3SrHg PBEsol optimized geometry
# Formation energy ... 0.425 eV/atom
data_Cs3SrHg
_chemical_formula_sum 'Cs3 Sr1 Hg1'
_space_group_name_H-M_alt 'P m -3 m'
_space_group_IT_number 221
_space_group_name_Hall '-P 4 2 3'
_cell_length_a 8.642
_cell_length_b 8.642
_cell_length_c 8.642
_cell_angle_alpha 90.00
_cell_angle_beta 90.00
_cell_angle_gamma 90.00
loop_
_atom_site_label
_atom_site_type_symbol
_atom_site_fract_x
_atom_site_fract_y
_atom_site_fract_z
Cs1 Cs 0.000 0.000 0.500
Sr1 Sr 0.000 0.000 0.000
Hg1 Hg 0.500 0.500 0.500

No. 14
# CsHgTe PBEsol optimized geometry
# Formation energy (no corrections) ... -0.636 eV per atom
data_CsHgTe
_chemical_formula_sum 'Cs4 Hg4 Te4'
_space_group_name_H-M_alt 'I m m m'
_space_group_IT_number 71
_space_group_name_Hall '-I 2 2'
_cell_length_a 4.649
_cell_length_b 9.866
_cell_length_c 10.364
_cell_angle_alpha 90.00
_cell_angle_beta 90.00
_cell_angle_gamma 90.00
loop_
_atom_site_label
_atom_site_type_symbol
_atom_site_fract_x
_atom_site_fract_y
_atom_site_fract_z
Cs1 Cs 0.000 0.222 0.000
Hg1 Hg 0.000 0.000 0.368
Te1 Te 0.000 0.500 0.289

VASP energy (eV per atom)
-2.307; -3.817; -2.542; -2.422; -2.419; -1.506; -2.434; -2.333; -1.682; -1.495; -1.210; -1.543; -0.622; -2.314